# 1
Here is a relaxed LuScCoOs crystal from Alexandria. Energies are from PBE.

Unit cell a=4.5829 b=4.5829 c=4.5829 alpha=60.00 beta=60.00 gamma=60.00
Fractional positions:
Sc  0.5000  0.5000  0.5000
Co  0.2500  0.2500  0.2500
Lu  0.0000  0.0000  0.0000
Os  0.7500  0.7500  0.7500

Volume (Å³/cell): 68
ΔE_f (meV/atom): -308
Electronic total energy (eV per atom): -7.60
Magnetization (μB/f.u.): 0.0


# 2
Here is a relaxed RbLi2CuCl4 crystal from Alexandria. Energies are from PBE.

Unit cell a=6.5655 b=6.5655 c=6.5655 alpha=121.09 beta=121.09 gamma=88.12
Last column: magnetic moment on the atom in μB.
Fractional positions:
Rb  0.5000  0.5000  0.0000  0.00
Li  0.7500  0.2500  0.5000  0.00
Li  0.2500  0.7500  0.5000  0.00
Cu  0.0000  0.0000  0.0000  0.12
Cl  0.6421  0.6421  0.6062  0.00
Cl  0.9641  0.3579  0.0000  0.00
Cl  0.3579  0.9641  0.0000  0.00
Cl  0.0359  0.0359  0.3938  0.00

Volume (Å³/cell): 197
Electronic total energy (eV per atom): -3.48
Magnetization (μB/f.u.): 0.1


# 3
Here is a relaxed Ti5Ga2Re crystal from Alexandria. Energies are from PBE.

Unit cell a=4.6125 b=4.6125 c=6.8062 alpha=109.81 beta=109.81 gamma=90.00
Fractional positions:
Ti  0.5000  0.5000  0.0000
Ti  0.8787  0.3787  0.7575
Ti  0.3787  0.8787  0.7575
Ti  0.1213  0.6213  0.2425
Ti  0.6213  0.1213  0.2425
Ga  0.7500  0.7500  0.4999
Ga  0.2500  0.2500  0.5001
Re  0.0000  0.0000  0.0000

Volume (Å³/cell): 127
ΔE_f (meV/atom): -392
Electronic total energy (eV per atom): -7.64
Magnetization (μB/f.u.): 0.0